Entry 1:
# Tb6Pr4Ho | Alexandria via LeMat-Bulk | GGA-PBE | optimized geometry
# - Formation energy from the elements: 290 meV/atom
# - Fermi-level density of states: 1.35 states/eV per atom
# - Distance to the lowest polymorph of the same formula: 0 meV/atom
data_Tb6Pr4Ho
_space_group_name_H-M_alt 'I -4 2 m'
_space_group_IT_number 121
_space_group_name_Hall 'I -4 2'
_cell_length_a 6.721
_cell_length_b 6.721
_cell_length_c 17.006
_cell_angle_alpha 90.00
_cell_angle_beta 90.00
_cell_angle_gamma 90.00
loop_
_atom_site_label
_atom_site_type_symbol
_atom_site_fract_x
_atom_site_fract_y
_atom_site_fract_z
Tb1 Tb 0.000 0.500 0.000
Tb2 Tb 0.177 0.177 0.378
Pr1 Pr 0.190 0.190 0.176
Ho1 Ho 0.000 0.000 0.000

---

Entry 2:
# RbTeS3 | Alexandria via LeMat-Bulk | GGA-PBE | optimized geometry
# - Fermi-level density of states: 0.87 states/eV per atom
# - Distance to the lowest polymorph of the same formula: 268 meV/atom
# - Raw formation energy: -0.156 eV per atom
data_RbTeS3
_space_group_name_H-M_alt 'P m -3 m'
_space_group_IT_number 221
_space_group_name_Hall '-P 4 2 3'
_cell_length_a 5.180
_cell_length_b 5.180
_cell_length_c 5.180
_cell_angle_alpha 90.00
_cell_angle_beta 90.00
_cell_angle_gamma 90.00
loop_
_atom_site_label
_atom_site_type_symbol
_atom_site_fract_x
_atom_site_fract_y
_atom_site_fract_z
Rb1 Rb 0.000 0.000 0.000
Te1 Te 0.500 0.500 0.500
S1 S 0.000 0.500 0.500

---

Entry 3:
# NdDy5Er4 | Alexandria via LeMat-Bulk | GGA-PBE | optimized geometry
# - Formation energy from the elements: 306 meV/atom
# - Fermi-level density of states: 1.42 states/eV per atom
data_NdDy5Er4
_space_group_name_H-M_alt 'I 4'
_space_group_IT_number 79
_cell_length_a 10.144
_cell_length_b 10.144
_cell_length_c 6.294
_cell_angle_alpha 90.00
_cell_angle_beta 90.00
_cell_angle_gamma 90.00
loop_
_space_group_symop_operation_xyz
'x,y,z'
'-y,x,z'
'-x,-y,z'
'y,-x,z'
'x+1/2,y+1/2,z+1/2'
'-y+1/2,x+1/2,z+1/2'
'-x+1/2,-y+1/2,z+1/2'
'y+1/2,-x+1/2,z+1/2'
loop_
_atom_site_label
_atom_site_type_symbol
_atom_site_fract_x
_atom_site_fract_y
_atom_site_fract_z
Nd1 Nd 0.000 0.000 0.000
Dy1 Dy 0.000 0.000 0.544
Dy2 Dy 0.144 0.234 0.273
Er1 Er 0.051 0.349 0.769

---

Entry 4:
# Pr6Ho3Sc | Alexandria via LeMat-Bulk | GGA-PBE | optimized geometry
# - Formation energy from the elements: 204 meV/atom
# - Fermi-level density of states: 1.95 states/eV per atom
# - Distance to the lowest polymorph of the same formula: 72 meV/atom
data_Pr6Ho3Sc
_space_group_name_H-M_alt 'R -3'
_space_group_IT_number 148
_space_group_name_Hall '-R 3'
_cell_length_a 9.9391
_cell_length_b 9.9391
_cell_length_c 12.0061
_cell_angle_alpha 90.00
_cell_angle_beta 90.00
_cell_angle_gamma 120.00
loop_
_atom_site_label
_atom_site_type_symbol
_atom_site_fract_x
_atom_site_fract_y
_atom_site_fract_z
Pr1 Pr 0.0013 0.6713 0.4176
Ho1 Ho 0.0000 0.0000 0.0000
Ho2 Ho 0.0000 0.0000 0.2546
Sc1 Sc 0.0000 0.0000 0.5000

---

Entry 5:
# Zr2CdFe | Alexandria via LeMat-Bulk | GGA-PBE | optimized geometry
# - Formation energy from the elements: 192 meV/atom
# - Fermi-level density of states: 0.80 states/eV per atom
data_Zr2CdFe
_space_group_name_H-M_alt 'R 3 m'
_space_group_IT_number 160
_space_group_name_Hall 'R 3 -2"'
_cell_length_a 3.1724
_cell_length_b 3.1724
_cell_length_c 27.7631
_cell_angle_alpha 90.00
_cell_angle_beta 90.00
_cell_angle_gamma 120.00
loop_
_atom_site_label
_atom_site_type_symbol
_atom_site_fract_x
_atom_site_fract_y
_atom_site_fract_z
Zr1 Zr 0.0000 0.0000 0.0000
Zr2 Zr 0.0000 0.0000 0.2398
Cd1 Cd 0.0000 0.0000 0.4788
Fe1 Fe 0.0000 0.0000 0.7351

---

Entry 6:
# TbIn2Hg | Alexandria via LeMat-Bulk | GGA-PBE | optimized geometry
# - Formation energy from the elements: -401 meV/atom
# - Fermi-level density of states: 0.45 states/eV per atom
data_TbIn2Hg
_space_group_name_H-M_alt 'P 4/m m m'
_space_group_IT_number 123
_space_group_name_Hall '-P 4 2'
_cell_length_a 4.620
_cell_length_b 4.620
_cell_length_c 4.601
_cell_angle_alpha 90.00
_cell_angle_beta 90.00
_cell_angle_gamma 90.00
loop_
_atom_site_label
_atom_site_type_symbol
_atom_site_fract_x
_atom_site_fract_y
_atom_site_fract_z
Tb1 Tb 0.000 0.000 0.000
In1 In 0.000 0.500 0.500
Hg1 Hg 0.500 0.500 0.000

---

Entry 7:
# V2ZnSb | Alexandria via LeMat-Bulk | GGA-PBE | optimized geometry
# - Fermi-level density of states: 1.19 states/eV per atom
# - Distance to the lowest polymorph of the same formula: 260 meV/atom
# - Raw formation energy: 0.475 eV per atom
data_V2ZnSb
_space_group_name_H-M_alt 'I -4 2 d'
_space_group_IT_number 122
_space_group_name_Hall 'I -4 2bw'
_cell_length_a 3.784
_cell_length_b 3.784
_cell_length_c 19.298
_cell_angle_alpha 90.00
_cell_angle_beta 90.00
_cell_angle_gamma 90.00
loop_
_atom_site_label
_atom_site_type_symbol
_atom_site_fract_x
_atom_site_fract_y
_atom_site_fract_z
V1 V 0.247 0.250 0.125
Zn1 Zn 0.000 0.000 0.000
Sb1 Sb 0.000 0.000 0.500

---

Entry 8:
# BaGaN2 | Alexandria via LeMat-Bulk | GGA-PBE | optimized geometry
# - Fermi-level density of states: 1.08 states/eV per atom
# - Raw formation energy: -0.143 eV per atom
data_BaGaN2
_space_group_name_H-M_alt 'I -4 2 d'
_space_group_IT_number 122
_space_group_name_Hall 'I -4 2bw'
_cell_length_a 6.027
_cell_length_b 6.027
_cell_length_c 7.407
_cell_angle_alpha 90.00
_cell_angle_beta 90.00
_cell_angle_gamma 90.00
loop_
_atom_site_label
_atom_site_type_symbol
_atom_site_fract_x
_atom_site_fract_y
_atom_site_fract_z
Ba1 Ba 0.000 0.000 0.000
Ga1 Ga 0.000 0.000 0.500
N1 N 0.141 0.750 0.625

---

| no. | spin magnetization (Bohr magnetons per cell) |
| --- | --- |
| 1 | 0.000 |
| 2 | 0.000 |
| 3 | 0.002 |
| 4 | 0.022 |
| 5 | 5.150 |
| 6 | 0.000 |
| 7 | 0.000 |
| 8 | 3.860 |